! Ce2InIr, relaxed, DFT GGA-PBE; values from VASP
&SYSTEM
  ibrav = 0, nat = 16, ntyp = 3
/
ATOMIC_SPECIES
Ce 140.12 Ce.upf
In 114.82 In.upf
Ir 192.22 Ir.upf
ATOMIC_POSITIONS angstrom
Ce 0.551 0.000 2.255
Ce 3.085 0.000 5.396
Ce 3.683 1.914 2.263
Ce 6.217 1.914 5.404
Ce 7.625 1.914 2.255
Ce 10.160 1.914 5.396
Ce 10.757 0.000 2.263
Ce 13.291 0.000 5.404
In 1.197 1.914 7.348
In 5.571 0.000 0.311
In 8.271 0.000 7.348
In 12.645 1.914 0.311
Ir 1.325 1.914 4.361
Ir 5.443 0.000 3.298
Ir 8.400 0.000 4.361
Ir 12.517 1.914 3.298
CELL_PARAMETERS angstrom
14.149 0.000 0.000
0.000 3.828 0.000
-0.306 0.000 7.659
! Energy relative to the elements in eV per atom: -0.567
! Total magnetic moment in μB/f.u.: 1.44
! Space group: C2/m
! Crystal system: monoclinic